#1
A plane-wave DFT calculation with GGA-PBE was carried out for a geometry-optimized MnAs2Rh structure.

Unit cell a=6.239 b=6.239 c=6.239 alpha=90.00 beta=90.00 gamma=90.00
Space group Fm-3m (No. 225)
Symmetry-distinct sites (fractional):
Mn (0.000, 0.000, 0.000) [4 per cell]
As (0.250, 0.250, 0.250) [8 per cell]
Rh (0.000, 0.000, 0.500) [4 per cell]

=====

#2
A plane-wave DFT calculation with GGA-PBE was carried out for a geometry-optimized MnAs2Rh structure.

Unit cell a=2.9740 b=2.9740 c=22.5069 alpha=90.00 beta=90.00 gamma=120.00
Space group R-3m (No. 166, hexagonal axes)
Symmetry-distinct sites (fractional):
Mn (0.0000, 0.0000, 0.0000) [3 per cell]
As (0.0000, 0.0000, 0.2557) [6 per cell]
Rh (0.0000, 0.0000, 0.5000) [3 per cell]

=====

Which structure wins on stability? #1 wins.

=====

#1
A plane-wave DFT calculation with GGA-PBE was carried out for a geometry-optimized Mn2AsRu2 structure.

Unit cell a=7.172 b=7.172 c=2.721 alpha=90.00 beta=90.00 gamma=90.00
Space group P4/mbm (No. 127)
Symmetry-distinct sites (fractional):
Mn (0.121, 0.379, 0.000) [4 per cell]
As (0.000, 0.000, 0.500) [2 per cell]
Ru (0.168, 0.668, 0.500) [4 per cell]

=====

#2
A plane-wave DFT calculation with GGA-PBE was carried out for a geometry-optimized Mn2AsRu2 structure.

Unit cell a=3.171 b=3.171 c=13.557 alpha=90.00 beta=90.00 gamma=90.00
Space group I4/mmm (No. 139)
Symmetry-distinct sites (fractional):
Mn (0.000, 0.500, 0.250) [4 per cell]
As (0.000, 0.000, 0.000) [2 per cell]
Ru (0.000, 0.000, 0.398) [4 per cell]

=====

Which structure wins on stability? #2 wins.